(1)
Compound: Cd2RuSe
Source: Alexandria via LeMat-Bulk
Functional: PBE-GGA
Structure: optimized geometry

Cell lengths 6.700, 6.700, 6.700 Å; angles 90.00, 90.00, 90.00 degrees
Fractional positions:
Cd (0.000, 0.000, 0.000)
Cd (0.000, 0.500, 0.500)
Cd (0.250, 0.250, 0.250)
Cd (0.250, 0.750, 0.750)
Cd (0.500, 0.000, 0.500)
Cd (0.500, 0.500, 0.000)
Cd (0.750, 0.250, 0.750)
Cd (0.750, 0.750, 0.250)
Ru (0.250, 0.250, 0.750)
Ru (0.250, 0.750, 0.250)
Ru (0.750, 0.250, 0.250)
Ru (0.750, 0.750, 0.750)
Se (0.000, 0.000, 0.500)
Se (0.000, 0.500, 0.000)
Se (0.500, 0.000, 0.000)
Se (0.500, 0.500, 0.500)

DOS(E_F) ... 15.04 states/eV/cell
Raw formation energy ... 422 meV/atom
Symmetry ... F-43m

(2)
Compound: CdRuSe2
Source: Alexandria via LeMat-Bulk
Functional: PBE-GGA
Structure: optimized geometry

Cell lengths 5.092, 3.418, 5.541 Å; angles 90.00, 113.90, 90.00 degrees
Fractional positions:
Cd (0.000, 0.000, 0.000)
Ru (0.000, 0.000, 0.500)
Se (0.381, 0.500, 0.664)
Se (0.619, 0.500, 0.336)

DOS(E_F) ... 2.33 states/eV/cell
Raw formation energy ... -16 meV/atom
Symmetry ... P2/m